The following is a DFT calculation (GGA-PBE) of a relaxed CsTa2Tl2S7 crystal.

```
data_CsTa2Tl2S7
_symmetry_space_group_name_H-M 'P 1'
_symmetry_Int_Tables_number 1
_symmetry_space_group_name_Hall 'P 1'
_cell_length_a 7.2879
_cell_length_b 7.2879
_cell_length_c 11.7705
_cell_angle_alpha 71.97
_cell_angle_beta 71.97
_cell_angle_gamma 60.00
loop_
_atom_site_label
_atom_site_type_symbol
_atom_site_fract_x
_atom_site_fract_y
_atom_site_fract_z
S1 S 0.6050 0.1872 0.2833
S2 S 0.0000 0.0000 0.0000
Ta1 Ta 0.0710 0.0710 0.7871
S3 S 0.1872 0.9245 0.2833
Ta2 Ta 0.9290 0.9290 0.2129
Tl1 Tl 0.7165 0.7165 0.8506
S4 S 0.9245 0.6050 0.2833
S5 S 0.0755 0.8128 0.7167
S6 S 0.3950 0.0755 0.7167
Cs1 Cs 0.5000 0.5000 0.5000
Tl2 Tl 0.2835 0.2835 0.1494
S7 S 0.8128 0.3950 0.7167
```

Values from the calculation:
Energy: -5.558 eV/atom
Density of states at the Fermi level: 13.05 states/eV/f.u.
Total magnetic moment: 0.00 μB per atom

=====

The following is a DFT calculation (GGA-PBE) of a relaxed Ca2IrPt2 crystal.

```
data_Ca2IrPt2
_symmetry_space_group_name_H-M 'P 1'
_symmetry_Int_Tables_number 1
_symmetry_space_group_name_Hall 'P 1'
_cell_length_a 6.8252
_cell_length_b 6.8252
_cell_length_c 4.4496
_cell_angle_alpha 90.00
_cell_angle_beta 90.00
_cell_angle_gamma 90.00
loop_
_atom_site_label
_atom_site_type_symbol
_atom_site_fract_x
_atom_site_fract_y
_atom_site_fract_z
Ca1 Ca 0.1786 0.6786 0.5000
Pt1 Pt 0.1341 0.3659 0.0000
Ca2 Ca 0.8214 0.3214 0.5000
Pt2 Pt 0.8659 0.6341 0.0000
Pt3 Pt 0.3659 0.8659 0.0000
Ir1 Ir 0.5000 0.5000 0.0000
Ca3 Ca 0.6786 0.8214 0.5000
Ir2 Ir 0.0000 0.0000 0.0000
Ca4 Ca 0.3214 0.1786 0.5000
Pt4 Pt 0.6341 0.1341 0.0000
```

Values from the calculation:
DFT formation energy: -0.590 eV per atom
Relative energy among the computed polymorphs: 0 meV/atom
Density of states at the Fermi level: 4.68 states/eV/f.u.
Total magnetic moment: 0.00 μB per atom

=====

The following is a DFT calculation (GGA-PBE) of a relaxed SrZrCl crystal.

```
data_SrZrCl
_symmetry_space_group_name_H-M 'P 1'
_symmetry_Int_Tables_number 1
_symmetry_space_group_name_Hall 'P 1'
_cell_length_a 5.0423
_cell_length_b 5.0423
_cell_length_c 5.0423
_cell_angle_alpha 60.00
_cell_angle_beta 60.00
_cell_angle_gamma 60.00
loop_
_atom_site_label
_atom_site_type_symbol
_atom_site_fract_x
_atom_site_fract_y
_atom_site_fract_z
Zr1 Zr 0.5000 0.5000 0.5000
Cl1 Cl 0.7500 0.7500 0.7500
Sr1 Sr 0.0000 0.0000 0.0000
```

Values from the calculation:
Relative energy among the computed polymorphs: 649 meV/atom
Density of states at the Fermi level: 1.78 states/eV/f.u.
Total magnetic moment: 0.92 μB per atom

=====

The following is a DFT calculation (GGA-PBE) of a relaxed MgBeMoHW crystal.

```
data_MgBeMoHW
_symmetry_space_group_name_H-M 'P 1'
_symmetry_Int_Tables_number 1
_symmetry_space_group_name_Hall 'P 1'
_cell_length_a 2.7837
_cell_length_b 4.3493
_cell_length_c 5.1871
_cell_angle_alpha 93.03
_cell_angle_beta 98.06
_cell_angle_gamma 91.60
loop_
_atom_site_label
_atom_site_type_symbol
_atom_site_fract_x
_atom_site_fract_y
_atom_site_fract_z
Mg1 Mg 0.3199 0.4494 0.5588
W1 W 0.8873 0.4114 0.0479
H1 H 0.8343 0.1596 0.7087
Mo1 Mo 0.7047 0.9276 0.3016
Be1 Be 0.2074 0.9130 0.8569
```

Values from the calculation:
Relative energy among the computed polymorphs: 115 meV/atom
Density of states at the Fermi level: 1.56 states/eV/f.u.
Total magnetic moment: 0.00 μB per atom

=====

Copy entry 1 word for word.
The following is a DFT calculation (GGA-PBE) of a relaxed CsTa2Tl2S7 crystal.

```
data_CsTa2Tl2S7
_symmetry_space_group_name_H-M 'P 1'
_symmetry_Int_Tables_number 1
_symmetry_space_group_name_Hall 'P 1'
_cell_length_a 7.2879
_cell_length_b 7.2879
_cell_length_c 11.7705
_cell_angle_alpha 71.97
_cell_angle_beta 71.97
_cell_angle_gamma 60.00
loop_
_atom_site_label
_atom_site_type_symbol
_atom_site_fract_x
_atom_site_fract_y
_atom_site_fract_z
S1 S 0.6050 0.1872 0.2833
S2 S 0.0000 0.0000 0.0000
Ta1 Ta 0.0710 0.0710 0.7871
S3 S 0.1872 0.9245 0.2833
Ta2 Ta 0.9290 0.9290 0.2129
Tl1 Tl 0.7165 0.7165 0.8506
S4 S 0.9245 0.6050 0.2833
S5 S 0.0755 0.8128 0.7167
S6 S 0.3950 0.0755 0.7167
Cs1 Cs 0.5000 0.5000 0.5000
Tl2 Tl 0.2835 0.2835 0.1494
S7 S 0.8128 0.3950 0.7167
```

Values from the calculation:
Energy: -5.558 eV/atom
Density of states at the Fermi level: 13.05 states/eV/f.u.
Total magnetic moment: 0.00 μB per atom